Material: MnCrAuS
Method: DFT, PBE-GGA
State: relaxed Values from VASP.

The structure in Quantum ESPRESSO input format:
```
&SYSTEM
  ibrav = 0, nat = 4, ntyp = 4
/
ATOMIC_SPECIES
Cr 52.00 Cr.upf
S 32.06 S.upf
Mn 54.94 Mn.upf
Au 196.97 Au.upf
CELL_PARAMETERS angstrom
2.9592 -0.2666 0.0782
0.2642 2.9590 0.0891
1.4081 1.1512 7.2613
ATOMIC_POSITIONS crystal
Cr 0.6476 0.1466 0.6376
S 0.0778 0.5768 0.7771
Mn 0.2739 0.7727 0.3866
Au 0.8959 0.3947 0.1424
```

Values from the calculation:
**Calculated density**: 8.792 g/cm3
**Space group**: I4mm (107)
**Energy above the most stable polymorph in this dataset**: 0.0261 eV/atom
**Total magnetization**: 5.6 Bohr magnetons per cell
**N(E_F)**: 2.02 states/eV/f.u.
**Final energy**: -6.61 eV per atom
**E_form (uncorrected)**: -0.061 eV/atom
**Calculated volume**: 15.86 Å³ per atom

***

Material: MnCrAuS
Method: DFT, PBE-GGA
State: relaxed Values from VASP.

The structure in Quantum ESPRESSO input format:
```
&SYSTEM
  ibrav = 0, nat = 8, ntyp = 4
/
ATOMIC_SPECIES
Cr 52.00 Cr.upf
S 32.06 S.upf
Mn 54.94 Mn.upf
Au 196.97 Au.upf
CELL_PARAMETERS angstrom
3.0165 0.0000 0.0000
0.0000 2.9161 0.0000
0.0000 0.0000 12.8007
ATOMIC_POSITIONS crystal
Cr 0.0000 0.0000 0.1577
Cr 0.0000 0.5000 0.6577
S 0.5000 0.0000 0.0253
S 0.5000 0.5000 0.5253
Mn 0.0000 0.0000 0.4616
Mn 0.0000 0.5000 0.9616
Au 0.5000 0.0000 0.7972
Au 0.5000 0.5000 0.2972
```

Values from the calculation:
**Calculated density**: 9.909 g/cm3
**Space group**: Amm2 (38)
**Energy above the most stable polymorph in this dataset**: 0.1000 eV/atom
**Total magnetization**: 6.7 Bohr magnetons per cell
**N(E_F)**: 3.22 states/eV/f.u.
**Final energy**: -6.54 eV per atom
**E_form (uncorrected)**: 0.013 eV/atom
**Calculated volume**: 14.07 Å³ per atom